[1]
The following is a PBE calculation of KCePdSe2 after structural relaxation, from Alexandria via LeMat-Bulk.

abc: 4.7856 8.0767 8.0257
angles: 100.67 90.00 90.00
Last column: nearest neighbours and their distance in Å.
Fractional coordinates of all 10 atoms:
Pd (0.0000, 0.0000, 0.0000)  2 Se 2.47
Pd (0.0000, 0.0000, 0.5000)  2 Se 2.47
Ce (0.5236, 0.0000, 0.7500)  4 Se 2.95-2.98, 4 Pd 3.04-3.21
Ce (0.4764, 0.0000, 0.2500)  4 Se 2.95-2.98, 4 Pd 3.04-3.21
Se (0.6905, 0.2495, 0.5371)  1 Pd 2.47
Se (0.3095, 0.7505, 0.4629)  1 Pd 2.47
Se (0.3095, 0.2495, 0.0371)  1 Pd 2.47
Se (0.6905, 0.7505, 0.9629)  1 Pd 2.47
K (0.8188, 0.5000, 0.2500)  6 Se 3.35-3.42
K (0.1812, 0.5000, 0.7500)  6 Se 3.35-3.42

- size of the total moment (μB per formula unit) = 0.96
- space group = P2/c, No. 13
- ΔE_f (raw) (meV per atom) = -1215

***

[2]
The following is a PBE calculation of Rb2SeSBr6 after structural relaxation, from Alexandria via LeMat-Bulk.

abc: 7.7725 7.7725 7.6571
angles: 59.50 59.50 90.00
Last column: nearest neighbours and their distance in Å.
Fractional coordinates of all 10 atoms:
Se (0.0000, 0.0000, 0.0000)  6 Br 2.73
Rb (0.2500, 0.7500, 0.5000)  12 Br 3.83-3.89
Rb (0.7500, 0.2500, 0.5000)  12 Br 3.83-3.89
Br (0.7512, 0.7512, 0.0000)  1 Se 2.73, 1 S 2.76
Br (0.2558, 0.2558, 0.4884)  1 S 2.60, 1 Se 2.73
Br (0.7512, 0.2488, 0.0000)  1 Se 2.73, 1 S 2.76
Br (0.2488, 0.2488, 0.0000)  1 Se 2.73, 1 S 2.76
Br (0.2488, 0.7512, 0.0000)  1 Se 2.73, 1 S 2.76
Br (0.7442, 0.7442, 0.5116)  1 S 2.60, 1 Se 2.73
S (0.5000, 0.5000, 0.0000)  6 Br 2.60-2.76

- size of the total moment (μB per formula unit) = 0.00
- space group = I4/mmm, No. 139
- ΔE_f (raw) (meV per atom) = -671

***

[3]
The following is a PBE calculation of Tb2Nd5Mg after structural relaxation, from Alexandria via LeMat-Bulk.

abc: 7.2640 6.8357 7.2631
angles: 105.49 119.77 105.54
Last column: nearest neighbours and their distance in Å.
Fractional coordinates of all 8 atoms:
Nd (0.8062, 0.7793, 0.4489)  6 Nd 3.47-3.82, 4 Tb 3.51-3.76, 2 Mg 3.60-3.66
Nd (0.2241, 0.2597, 0.0353)  1 Mg 3.48, 8 Nd 3.53-3.68, 3 Tb 3.61-3.65
Nd (0.2383, 0.2780, 0.5412)  2 Mg 3.55-3.59, 4 Tb 3.58-3.66, 6 Nd 3.59-3.68
Nd (0.7374, 0.2785, 0.0402)  2 Mg 3.55-3.59, 4 Tb 3.58-3.65, 6 Nd 3.59-3.68
Nd (0.3301, 0.7793, 0.9728)  6 Nd 3.47-3.82, 4 Tb 3.51-3.75, 2 Mg 3.60-3.66
Tb (0.3260, 0.7798, 0.4543)  9 Nd 3.51-3.76, 1 Tb 3.60, 2 Mg 3.64-3.65
Tb (0.7437, 0.2941, 0.5502)  1 Mg 3.48, 10 Nd 3.55-3.66, 1 Tb 3.60
Mg (0.8172, 0.7743, 0.9572)  3 Tb 3.48-3.65, 9 Nd 3.48-3.66

- size of the total moment (μB per formula unit) = 0.00
- calculated formation energy (eV per atom) = 0.01
- distance to the lowest polymorph of the same formula (eV per atom) = 0.004
- space group = Cm, No. 8